The following is a GGA-PBE calculation of an optimized crystal structure of TlAsF5, from Alexandria.

Unit cell a=6.0531 b=6.1109 c=8.3309 alpha=70.34 beta=70.60 gamma=75.10
Space group P-1 (No. 2)
Asymmetric unit:
Tl: 0.0130 0.0046 0.2499
As: 0.5000 0.5000 0.0000
As: 0.5000 0.5000 0.5000
F: 0.1896 0.5341 0.0960
F: 0.2308 0.7695 0.5063
F: 0.2776 0.2860 0.5684
F: 0.4612 0.4151 0.8248
F: 0.4703 0.7991 0.8756

Summary:
As for the crystal system: triclinic. As for the magnetization: 0.00 μB/f.u. The value obtained for the uncorrected formation energy is -2.021 eV/atom. The calculated volume is 19.29 Å³ per atom.